# 1
Below is crystalline YIr3Se at its relaxed geometry, with properties calculated at the PBE-GGA level.

```
5
Lattice="5.0106 0.0000 0.0000 0.0000 5.0106 0.0000 0.0000 0.0000 5.0106" Properties=species:S:1:pos:R:3 pbc="T T T"
Y 0.0000 0.0000 0.0000
Ir 0.0000 0.0000 2.5053
Ir 0.0000 2.5053 0.0000
Ir 2.5053 0.0000 0.0000
Se 2.5053 2.5053 2.5053
```

Summary:
E_form (uncorrected) = 10.77 eV per formula unit

# 2
Below is crystalline YIr2Se at its relaxed geometry, with properties calculated at the PBE-GGA level.

```
4
Lattice="2.0441 1.1801 5.7474 -2.0441 1.1801 5.7474 0.0000 -2.3603 5.7474" Properties=species:S:1:pos:R:3 pbc="T T T"
Y 0.0000 0.0000 0.0000
Ir 0.0000 0.0000 4.1186
Ir 0.0000 0.0000 9.0371
Se 0.0000 0.0000 13.3835
```

Summary:
E_form (uncorrected) = -1.23 eV per formula unit

# 3
Below is crystalline YIr2Se at its relaxed geometry, with properties calculated at the PBE-GGA level.

```
4
Lattice="1.6003 0.9239 8.4432 -1.6003 0.9239 8.4432 0.0000 -1.8478 8.4432" Properties=species:S:1:pos:R:3 pbc="T T T"
Y 0.0000 0.0000 0.0000
Ir 0.0000 0.0000 6.1939
Ir 0.0000 0.0000 19.1357
Se 0.0000 0.0000 12.6648
```

Summary:
E_form (uncorrected) = 0.59 eV per formula unit

# 4
Below is crystalline YIr2Se at its relaxed geometry, with properties calculated at the PBE-GGA level.

```
4
Lattice="0.0000 3.3218 3.3218 3.3218 0.0000 3.3218 3.3218 3.3218 0.0000" Properties=species:S:1:pos:R:3 pbc="T T T"
Y 0.0000 0.0000 0.0000
Ir 1.6609 1.6609 1.6609
Ir 3.3218 3.3218 3.3218
Se 4.9827 4.9827 4.9827
```

Summary:
E_form (uncorrected) = 0.09 eV per formula unit

# 5
Below is crystalline Y7IrSe5 at its relaxed geometry, with properties calculated at the PBE-GGA level.

```
26
Lattice="1.9831 -6.7351 0.0000 1.9831 6.7351 0.0000 0.0000 0.0000 24.4415" Properties=species:S:1:pos:R:3 pbc="T T T"
Y 1.9831 6.1143 12.2207
Y 1.9831 4.9772 5.3001
Y 1.9831 4.7384 19.3257
Y 1.9831 2.8525 10.5988
Y 1.9831 2.6050 13.9142
Y 1.9831 1.4261 3.0495
Y 1.9831 1.0316 21.0802
Y 1.9831 -1.0316 8.8595
Y 1.9831 -1.4261 15.2702
Y 1.9831 -2.6050 1.6935
Y 1.9831 -2.8525 22.8195
Y 1.9831 -4.7384 7.1050
Y 1.9831 -4.9772 17.5208
Y 1.9831 -6.1143 0.0000
Ir 1.9831 2.5978 0.2971
Ir 1.9831 -2.5978 12.5178
Se 1.9831 6.1027 2.6859
Se 1.9831 5.8743 21.9129
Se 1.9831 3.8727 7.9277
Se 1.9831 3.6434 16.6303
Se 1.9831 0.1630 6.0953
Se 1.9831 -0.1630 18.3161
Se 1.9831 -3.6434 4.4095
Se 1.9831 -3.8727 20.1484
Se 1.9831 -5.8743 9.6921
Se 1.9831 -6.1027 14.9066
```

Summary:
E_form (uncorrected) = -19.72 eV per formula unit

# 6
Below is crystalline Y6IrSe5 at its relaxed geometry, with properties calculated at the PBE-GGA level.

```
12
Lattice="3.5773 -6.1914 0.0000 3.5773 6.1914 0.0000 -2.3912 0.0000 6.7078" Properties=species:S:1:pos:R:3 pbc="T T T"
Y -0.0816 1.9474 4.9312
Y 1.0504 0.0000 1.7432
Y -0.0816 -1.9474 4.9312
Y 4.8450 1.9474 1.7766
Y 3.7130 0.0000 4.9645
Y 4.8450 -1.9474 1.7766
Ir -1.1956 0.0000 3.3539
Se 3.5773 4.0142 0.0000
Se 2.3817 2.0455 3.3539
Se 3.5773 0.0000 0.0000
Se 2.3817 -2.0455 3.3539
Se 3.5773 -4.0142 0.0000
```

Summary:
E_form (uncorrected) = -19.73 eV per formula unit

Which value of E_form (uncorrected) does entry 6 give? -19.73 eV per formula unit